(1)
Below is an optimized crystal structure of Mg2TaP, with properties calculated at the PBE-GGA level.

Cell lengths 2.8972, 2.8972, 8.5739 Å; angles 90.00, 90.00, 92.45 degrees
Atoms (fractional coordinates):
Ta1 0.5000 0.5000 0.7500
Mg1 0.0000 0.0000 0.4831
Mg2 0.0000 0.0000 0.0169
P1 0.5000 0.5000 0.2500

Output
**SG**: Cmmm
**DOS at the Fermi energy**: 0.549 states/eV per atom

---

(2)
Below is an optimized crystal structure of Li2NdY2Ga2, with properties calculated at the PBE-GGA level.

Cell lengths 4.6535, 4.6535, 9.3021 Å; angles 75.51, 75.51, 60.00 degrees
Atoms (fractional coordinates):
Li1 0.5974 0.5974 0.2078
Li2 0.4026 0.4026 0.7922
Ga1 0.7416 0.7416 0.7752
Ga2 0.2584 0.2584 0.2248
Y1 0.1270 0.1270 0.6189
Y2 0.8730 0.8730 0.3811
Nd1 0.0000 0.0000 0.0000

Output
**SG**: R-3m
**DOS at the Fermi energy**: 0.783 states/eV per atom

---

(3)
Below is an optimized crystal structure of Hf2Al5PdRu2, with properties calculated at the PBE-GGA level.

Cell lengths 4.1007, 9.0273, 9.0273 Å; angles 90.00, 90.00, 90.00 degrees
Atoms (fractional coordinates):
Al1 0.5000 0.9316 0.2057
Al2 0.5000 0.0684 0.7943
Al3 0.5000 0.5684 0.7057
Al4 0.5000 0.2943 0.5684
Al5 0.5000 0.7057 0.4316
Al6 0.5000 0.2057 0.0684
Al7 0.5000 0.7943 0.9316
Al8 0.5000 0.0000 0.5000
Al9 0.5000 0.4316 0.2943
Al10 0.5000 0.5000 0.0000
Ru1 0.0000 0.1203 0.6203
Ru2 0.0000 0.6203 0.8797
Ru3 0.0000 0.3797 0.1203
Ru4 0.0000 0.8797 0.3797
Hf1 0.0000 0.8264 0.6736
Hf2 0.0000 0.6736 0.1736
Hf3 0.0000 0.1736 0.3264
Hf4 0.0000 0.3264 0.8264
Pd1 0.0000 0.0000 0.0000
Pd2 0.0000 0.5000 0.5000

Output
**SG**: P4/mbm
**DOS at the Fermi energy**: 0.496 states/eV per atom

---

(4)
Below is an optimized crystal structure of TaAl2Zn, with properties calculated at the PBE-GGA level.

Cell lengths 9.1420, 9.1420, 9.1420 Å; angles 18.49, 18.49, 18.49 degrees
Atoms (fractional coordinates):
Al1 0.4976 0.4976 0.4976
Al2 0.0024 0.0024 0.0024
Ta1 0.2500 0.2500 0.2500
Zn1 0.7500 0.7500 0.7500

Output
**SG**: R-3m
**DOS at the Fermi energy**: 0.478 states/eV per atom

---

(5)
Below is an optimized crystal structure of Pr9Sm3Ho2, with properties calculated at the PBE-GGA level.

Cell lengths 9.1714, 9.1714, 14.0585 Å; angles 90.00, 90.00, 120.00 degrees
Atoms (fractional coordinates):
Pr1 0.5939 0.8681 0.5410
Pr2 0.8681 0.2741 0.0410
Pr3 0.4015 0.9211 0.7500
Pr4 0.8681 0.2741 0.4590
Pr5 0.1319 0.7259 0.9590
Pr6 0.0789 0.4804 0.7500
Pr7 0.9211 0.5196 0.2500
Pr8 0.4804 0.4015 0.2500
Pr9 0.1319 0.7259 0.5410
Pr10 0.2741 0.4061 0.5410
Pr11 0.4061 0.1319 0.4590
Pr12 0.5196 0.5985 0.7500
Pr13 0.5985 0.0789 0.2500
Pr14 0.5939 0.8681 0.9590
Pr15 0.7259 0.5939 0.0410
Pr16 0.2741 0.4061 0.9590
Pr17 0.4061 0.1319 0.0410
Pr18 0.7259 0.5939 0.4590
Sm1 0.0816 0.2508 0.2500
Sm2 0.2508 0.1692 0.7500
Sm3 0.7492 0.8308 0.2500
Sm4 0.9184 0.7492 0.7500
Sm5 0.8308 0.0816 0.7500
Sm6 0.1692 0.9184 0.2500
Ho1 0.3333 0.6667 0.1426
Ho2 0.6667 0.3333 0.8574
Ho3 0.6667 0.3333 0.6426
Ho4 0.3333 0.6667 0.3574

Output
**SG**: P6_3/m
**DOS at the Fermi energy**: 1.340 states/eV per atom

---

(6)
Below is an optimized crystal structure of BaCd2FePd, with properties calculated at the PBE-GGA level.

Cell lengths 5.0432, 5.6249, 5.0432 Å; angles 90.00, 90.00, 90.00 degrees
Last column: magnetic moment on the atom in μB.
Atoms (fractional coordinates):
Cd1 0.0000 0.0000 0.5000  -0.01
Cd2 0.5000 0.0000 0.0000  -0.02
Ba1 0.0000 0.5000 0.0000  -0.04
Fe1 0.0000 0.0000 0.0000  2.29
Pd1 0.5000 0.5000 0.5000  0.04

Output
**SG**: P4/mmm
**DOS at the Fermi energy**: 1.083 states/eV per atom

---

| no. | DFT formation energy (eV per formula unit) | total magnetic moment (μB/atom) |
| --- | --- | --- |
| 1 | 0.46 | 0.00 |
| 2 | -2.04 | 0.00 |
| 3 | -5.40 | 0.00 |
| 4 | -0.27 | 0.00 |
| 5 | 3.10 | 0.00 |
| 6 | 2.52 | 0.45 |